Computed, not measured: an optimized crystal structure of Sn12Sb5Pb3 at the GGA-PBE level of DFT.

Computed properties:
* size of the total moment: 0.00 μB per atom
* N(E_F): 41.60 states/eV/cell
* formation energy (no corrections): 0.19 eV per atom

a = 15.5834 Å, b = 15.5834 Å, c = 15.5834 Å
α = 109.47°, β = 109.47°, γ = 109.47°
Element x y z (fractional)
Sn: 0.0620 0.2256 0.1471
Sn: 0.0620 0.3364 0.9150
Sn: 0.0785 0.7256 0.6636
Sn: 0.0785 0.8529 0.4150
Sn: 0.0850 0.6471 0.4215
Sn: 0.0850 0.9380 0.6636
Sn: 0.1471 0.0620 0.2256
Sn: 0.1471 0.5850 0.9215
Sn: 0.1636 0.2256 0.5785
Sn: 0.1636 0.4380 0.5850
Sn: 0.2256 0.1471 0.0620
Sn: 0.2256 0.5785 0.1636
Sn: 0.2744 0.3364 0.9215
Sn: 0.2744 0.4380 0.3529
Sn: 0.3364 0.9150 0.0620
Sn: 0.3364 0.9215 0.2744
Sn: 0.3529 0.2744 0.4380
Sn: 0.3529 0.5785 0.9150
Sn: 0.4150 0.0785 0.8529
Sn: 0.4150 0.8364 0.5620
Sn: 0.4215 0.0850 0.6471
Sn: 0.4215 0.8364 0.7744
Sn: 0.4380 0.3529 0.2744
Sn: 0.4380 0.5850 0.1636
Sn: 0.5620 0.4150 0.8364
Sn: 0.5620 0.6471 0.7256
Sn: 0.5785 0.1636 0.2256
Sn: 0.5785 0.9150 0.3529
Sn: 0.5850 0.1636 0.4380
Sn: 0.5850 0.9215 0.1471
Sn: 0.6471 0.4215 0.0850
Sn: 0.6471 0.7256 0.5620
Sn: 0.6636 0.0785 0.7256
Sn: 0.6636 0.0850 0.9380
Sn: 0.7256 0.5620 0.6471
Sn: 0.7256 0.6636 0.0785
Sn: 0.7744 0.4215 0.8364
Sn: 0.7744 0.8529 0.9380
Sn: 0.8364 0.5620 0.4150
Sn: 0.8364 0.7744 0.4215
Sn: 0.8529 0.4150 0.0785
Sn: 0.8529 0.9380 0.7744
Sn: 0.9150 0.0620 0.3364
Sn: 0.9150 0.3529 0.5785
Sn: 0.9215 0.1471 0.5850
Sn: 0.9215 0.2744 0.3364
Sn: 0.9380 0.6636 0.0850
Sn: 0.9380 0.7744 0.8529
Sb: 0.0000 0.0000 0.0000
Sb: 0.0000 0.0000 0.5000
Sb: 0.0000 0.5000 0.0000
Sb: 0.0000 0.5000 0.5000
Sb: 0.1250 0.7500 0.8750
Sb: 0.1250 0.8750 0.2500
Sb: 0.2500 0.1250 0.8750
Sb: 0.2500 0.6250 0.3750
Sb: 0.3750 0.2500 0.6250
Sb: 0.3750 0.6250 0.7500
Sb: 0.5000 0.0000 0.0000
Sb: 0.5000 0.0000 0.5000
Sb: 0.5000 0.5000 0.0000
Sb: 0.5000 0.5000 0.5000
Sb: 0.6250 0.3750 0.2500
Sb: 0.6250 0.7500 0.3750
Sb: 0.7500 0.3750 0.6250
Sb: 0.7500 0.8750 0.1250
Sb: 0.8750 0.1250 0.7500
Sb: 0.8750 0.2500 0.1250
Pb: 0.1250 0.2500 0.3750
Pb: 0.1250 0.3750 0.7500
Pb: 0.2500 0.3750 0.1250
Pb: 0.2500 0.8750 0.6250
Pb: 0.3750 0.1250 0.2500
Pb: 0.3750 0.7500 0.1250
Pb: 0.6250 0.2500 0.8750
Pb: 0.6250 0.8750 0.7500
Pb: 0.7500 0.1250 0.3750
Pb: 0.7500 0.6250 0.8750
Pb: 0.8750 0.6250 0.2500
Pb: 0.8750 0.7500 0.6250